This record from the Alexandria database describes a relaxed RuPtSe crystal. The functional is PBE.

Cell lengths 7.7607, 7.5052, 2.8238 Å; angles 84.48, 74.28, 21.23 degrees
Last column: nearest neighbours and their distance in Å.
Positions (direct):
Se  0.6905  0.6905  0.3095  2 Ru 2.45
Ru  0.3253  0.3253  0.6747  2 Se 2.45
Pt  0.9842  0.9842  0.0158  2 Ru 2.74, 6 Pt 2.82-2.85

- Energy relative to the elements, uncorrected: 0.41 eV/atom
- Total DFT energy (no corrections): -5.858 eV/atom
- Space-group type: Fmm2, No. 42
- Crystal system: orthorhombic



This record from the Alexandria database describes a relaxed Ru2PtSe crystal. The functional is PBE.

Cell lengths 5.3360, 5.3360, 5.3360 Å; angles 148.25, 129.96, 60.49 degrees
Last column: nearest neighbours and their distance in Å.
Positions (direct):
Pt  0.7500  0.2500  0.5000  4 Se 2.69, 2 Pt 2.92, 4 Ru 2.96
Ru  0.4708  0.4708  0.0000  2 Se 2.50, 4 Ru 2.74
Ru  0.0292  0.0292  0.0000  2 Se 2.50, 4 Ru 2.74
Se  0.2500  0.7500  0.5000  4 Ru 2.50, 4 Pt 2.69

- Energy relative to the elements, uncorrected: 0.35 eV/atom
- Total DFT energy (no corrections): -6.674 eV/atom
- Space-group type: Immm, No. 71
- Crystal system: orthorhombic



This record from the Alexandria database describes a relaxed Ru2PtSe crystal. The functional is PBE.

Cell lengths 4.1307, 4.1307, 5.7269 Å; angles 80.45, 80.45, 40.54 degrees
Last column: nearest neighbours and their distance in Å.
Positions (direct):
Se  0.7500  0.7500  0.7500  6 Ru 2.45-2.53
Ru  0.0000  0.0000  0.9592  3 Se 2.45-2.53, 2 Pt 2.73
Ru  0.5000  0.5000  0.5408  3 Se 2.45-2.53, 2 Pt 2.73
Pt  0.2500  0.2500  0.2500  6 Ru 2.73-2.77, 2 Pt 2.86

- Energy relative to the elements, uncorrected: 0.27 eV/atom
- Total DFT energy (no corrections): -6.754 eV/atom
- Space-group type: C2/m, No. 12
- Crystal system: monoclinic



| no. | size of the total moment (μB/atom) | energy above the most stable polymorph in this dataset (meV per atom) | volume (A^3/atom) |
| --- | --- | --- | --- |
| 1 | 0.105 | 281.6 | 17.08 |
| 2 | 0.000 | 133.0 | 15.18 |
| 3 | 0.000 | 53.4 | 15.63 |